## Mg2TeAs (PBE)

Data for Mg2TeAs after structural relaxation.

Cell lengths 6.5298, 6.5298, 7.4262 Å; angles 63.92, 63.92, 90.00 degrees
Closest atoms and distances in Å follow each position.
Positions (direct):
As: 0.5000 0.5000 0.0000  4 Mg 2.63
As: 0.2500 0.7500 0.5000  4 Mg 2.63
Te: 0.0000 0.0000 0.0000  4 Mg 2.83
Te: 0.7500 0.2500 0.5000  4 Mg 2.83
Mg: 0.5991 0.1250 0.2500  2 As 2.63, 2 Te 2.83
Mg: 0.1509 0.6250 0.2500  2 As 2.63, 2 Te 2.83
Mg: 0.3750 0.4009 0.7500  2 As 2.63, 2 Te 2.83
Mg: 0.8750 0.8491 0.7500  2 As 2.63, 2 Te 2.83

- electronic total energy (eV/atom) = -3.1620
- V (Å³/atom) = 31.00
- SG = I-42d, No. 122

---

## InH2O (PBE)

Data for InH2O after structural relaxation.

Cell lengths 3.6655, 3.6655, 3.6655 Å; angles 60.00, 60.00, 60.00 degrees
Closest atoms and distances in Å follow each position.
Positions (direct):
H: 0.2500 0.2500 0.2500  4 In 2.24, 4 O 2.24
H: 0.7500 0.7500 0.7500  4 O 2.24, 4 In 2.24
O: 0.0000 0.0000 0.0000  8 H 2.24
In: 0.5000 0.5000 0.5000  8 H 2.24

- electronic total energy (eV/atom) = -3.0094
- V (Å³/atom) = 8.71
- SG = Fm-3m, No. 225

---

## CaCu2 (PBE)

Data for CaCu2 after structural relaxation.

Cell lengths 7.5770, 7.5770, 3.8536 Å; angles 90.00, 90.00, 147.25 degrees
Closest atoms and distances in Å follow each position.
Positions (direct):
Ca: 0.6560 0.3440 0.0000  8 Cu 2.98-3.12
Ca: 0.3440 0.6560 0.0000  8 Cu 2.98-3.12
Cu: 0.0000 0.0000 0.0000  4 Cu 2.43
Cu: 0.5000 0.5000 0.5000  8 Cu 2.60-2.88
Cu: 0.8982 0.1018 0.5000  4 Cu 2.43-2.60
Cu: 0.1018 0.8982 0.5000  4 Cu 2.43-2.60

- energy of formation (eV/atom) = -0.002
- electronic total energy (eV/atom) = -3.3997
- V (Å³/atom) = 19.95
- SG = Cmmm, No. 65

---

## ScGa4Au (PBE)

Data for ScGa4Au after structural relaxation.

Cell lengths 4.9529, 4.9642, 8.9313 Å; angles 90.00, 90.00, 90.00 degrees
Closest atoms and distances in Å follow each position.
Positions (direct):
Sc: 0.0000 0.0000 0.0000  10 Ga 2.98-3.02
Sc: 0.5000 0.5000 0.0000  10 Ga 2.98-3.02
Ga: 0.0000 0.5002 0.1854  1 Au 2.81, 4 Ga 2.83, 4 Sc 2.98
Ga: 0.5000 0.0002 0.8146  1 Au 2.81, 4 Ga 2.83, 4 Sc 2.98
Ga: 0.5000 0.4996 0.3377  5 Ga 2.83-2.90, 4 Au 2.87-2.88, 1 Sc 3.02
Ga: 0.0000 0.9996 0.6623  5 Ga 2.83-2.90, 4 Au 2.87-2.88, 1 Sc 3.02
Ga: 0.0000 0.4998 0.8146  1 Au 2.81, 4 Ga 2.83, 4 Sc 2.98
Ga: 0.5000 0.9998 0.1854  1 Au 2.81, 4 Ga 2.83, 4 Sc 2.98
Ga: 0.5000 0.5004 0.6623  5 Ga 2.83-2.90, 4 Au 2.87-2.88, 1 Sc 3.02
Ga: 0.0000 0.0004 0.3377  5 Ga 2.83-2.90, 4 Au 2.87-2.88, 1 Sc 3.02
Au: 0.5000 0.0000 0.5000  10 Ga 2.81-2.88
Au: 0.0000 0.5000 0.5000  10 Ga 2.81-2.88

- energy of formation (eV/atom) = -0.258
- electronic total energy (eV/atom) = -3.8778
- V (Å³/atom) = 18.30
- SG = Cmmm, No. 65

---

## MnCoAs2 (PBE)

Data for MnCoAs2 after structural relaxation.

Cell lengths 5.1494, 5.1494, 5.1494 Å; angles 139.61, 139.61, 58.44 degrees
Closest atoms and distances in Å follow each position.
Positions (direct):
As: 0.0000 0.0000 0.0000  4 Co 2.51
As: 0.2500 0.7500 0.5000  4 Mn 2.51
Co: 0.5000 0.5000 0.0000  4 As 2.51
Mn: 0.7500 0.2500 0.5000  4 As 2.51

- energy of formation (eV/atom) = 0.128
- electronic total energy (eV/atom) = -6.2660
- V (Å³/atom) = 14.20
- SG = I-4m2, No. 119

---

## CdSi2Ge2 (PBE)

Data for CdSi2Ge2 after structural relaxation.

Cell lengths 4.6506, 4.6506, 5.6401 Å; angles 65.65, 65.65, 90.00 degrees
Closest atoms and distances in Å follow each position.
Positions (direct):
Ge: 0.7500 0.2500 0.5000  4 Si 2.57
Ge: 0.2500 0.7500 0.5000  4 Si 2.57
Si: 0.3702 0.3702 0.2596  1 Si 2.38, 4 Ge 2.57
Si: 0.6298 0.6298 0.7404  1 Si 2.38, 4 Ge 2.57
Cd: 0.0000 0.0000 0.0000  8 Ge 3.26, 10 Si 3.39-3.50

- electronic total energy (eV/atom) = -3.9274
- V (Å³/atom) = 19.82
- SG = I4/mmm, No. 139

---

## Dy2Cd16Sn (PBE)

Data for Dy2Cd16Sn after structural relaxation.

Cell lengths 7.6714, 7.6714, 7.6714 Å; angles 83.55, 83.55, 83.55 degrees
Closest atoms and distances in Å follow each position.
Positions (direct):
Dy: 0.6759 0.6759 0.6759  1 Sn 3.23, 12 Cd 3.43-3.48
Dy: 0.3320 0.3320 0.3320  16 Cd 3.47-3.86
Cd: 0.6854 0.9968 0.3192  7 Cd 2.92-3.18
Cd: 0.9968 0.3192 0.6854  7 Cd 2.92-3.18
Cd: 0.3192 0.6854 0.9968  7 Cd 2.92-3.18
Cd: 0.9968 0.6854 0.3192  7 Cd 2.92-3.18
Cd: 0.6854 0.3192 0.9968  7 Cd 2.92-3.18
Cd: 0.3192 0.9968 0.6854  7 Cd 2.92-3.18
Cd: 0.3735 0.7775 0.3735  8 Cd 2.85-3.15
Cd: 0.7775 0.3735 0.3735  8 Cd 2.85-3.15
Cd: 0.3735 0.3735 0.7775  8 Cd 2.85-3.15
Cd: 0.6620 0.1326 0.6620  8 Cd 2.85-3.11, 1 Sn 3.00
Cd: 0.1326 0.6620 0.6620  8 Cd 2.85-3.11, 1 Sn 3.00
Cd: 0.6620 0.6620 0.1326  8 Cd 2.85-3.11, 1 Sn 3.00
Cd: 0.0286 0.4651 0.0286  9 Cd 2.85-3.15
Cd: 0.4651 0.0286 0.0286  9 Cd 2.85-3.15
Cd: 0.0286 0.0286 0.4651  9 Cd 2.85-3.15
Cd: 0.0906 0.0906 0.0906  3 Cd 2.85, 1 Sn 2.87
Sn: 0.8953 0.8953 0.8953  4 Cd 2.87-3.00

- energy of formation (eV/atom) = -0.096
- electronic total energy (eV/atom) = -1.5614
- V (Å³/atom) = 23.34
- SG = R3m, No. 160

---

## NaH3Se2O6 (PBE)

Data for NaH3Se2O6 after structural relaxation.

Cell lengths 6.2171, 4.6238, 11.3136 Å; angles 69.80, 90.00, 90.00 degrees
Closest atoms and distances in Å follow each position.
Positions (direct):
Na: 0.0000 0.0000 0.0000  4 O 2.36-2.54, 2 H 2.62
Na: 0.5000 0.0000 0.5000  4 O 2.36-2.54, 2 H 2.62
H: 0.5000 0.0000 0.0000  2 O 1.22
H: 0.5406 0.8043 0.3095  1 O 1.03
H: 0.0406 0.1957 0.1905  1 O 1.03
H: 0.0000 0.0000 0.5000  2 O 1.22
H: 0.9594 0.8043 0.8095  1 O 1.03
H: 0.4594 0.1957 0.6905  1 O 1.03
Se: 0.1163 0.7063 0.3460  3 O 1.69-1.82
Se: 0.6163 0.2937 0.1540  3 O 1.69-1.82
Se: 0.3837 0.7063 0.8460  3 O 1.69-1.82
Se: 0.8837 0.2937 0.6540  3 O 1.69-1.82
O: 0.6370 0.4497 0.6472  1 H 1.56, 1 Se 1.69
O: 0.6438 0.1205 0.0395  1 H 1.22
O: 0.1597 0.0324 0.2018  1 H 1.03
O: 0.6597 0.9676 0.2982  1 H 1.03
O: 0.1438 0.8795 0.4605  1 H 1.22
O: 0.1370 0.5503 0.8528  1 H 1.56, 1 Se 1.69
O: 0.8630 0.4497 0.1472  1 H 1.56, 1 Se 1.69
O: 0.8562 0.1205 0.5395  1 H 1.22
O: 0.3403 0.0324 0.7018  1 H 1.03
O: 0.8403 0.9676 0.7982  1 H 1.03
O: 0.3562 0.8795 0.9605  1 H 1.22
O: 0.3630 0.5503 0.3528  1 H 1.56, 1 Se 1.69

- electronic total energy (eV/atom) = -5.0322
- V (Å³/atom) = 12.72
- SG = P2_1/c, No. 14

---

What is the electronic total energy in the third record?
-3.3997 eV/atom